Record 1
Compound: LiMgOF
Source: the Alexandria database
Functional: PBE
Structure: optimized geometry

Results
space-group type	P3m1 (156)
calculated density	2.65	g/cm³
energy relative to the elements, uncorrected	-2.722	eV per atom
N(E_F)	0.00	states/eV per cell

a = 3.049 Å, b = 3.049 Å, c = 5.157 Å
α = 90.00°, β = 90.00°, γ = 120.00°
Atoms (fractional coordinates):
Li  0.000  0.000  0.000
Mg  0.667  0.333  0.606
O  0.333  0.667  0.807
F  0.000  0.000  0.371



Record 2
Compound: Li9Mg3P4O16F3
Source: the Alexandria database
Functional: PBE
Structure: optimized geometry

Results
space-group type	P6_3 (173)
calculated density	2.65	g/cm³
energy relative to the elements, uncorrected	-2.587	eV per atom
N(E_F)	0.00	states/eV per cell

a = 12.773 Å, b = 12.773 Å, c = 5.078 Å
α = 90.00°, β = 90.00°, γ = 120.00°
Atoms (fractional coordinates):
Li  0.083  0.169  0.000
Li  0.086  0.917  0.000
Li  0.087  0.419  0.086
Li  0.169  0.086  0.500
Li  0.175  0.565  0.551
Li  0.332  0.913  0.086
Li  0.389  0.825  0.551
Li  0.419  0.332  0.586
Li  0.435  0.611  0.551
Li  0.565  0.389  0.051
Li  0.581  0.668  0.086
Li  0.611  0.175  0.051
Li  0.668  0.087  0.586
Li  0.825  0.435  0.051
Li  0.831  0.914  0.000
Li  0.913  0.581  0.586
Li  0.914  0.083  0.500
Li  0.917  0.831  0.500
Mg  0.067  0.642  0.084
Mg  0.358  0.426  0.084
Mg  0.426  0.067  0.584
Mg  0.574  0.933  0.084
Mg  0.642  0.574  0.584
Mg  0.933  0.358  0.584
P  0.153  0.834  0.598
P  0.166  0.319  0.598
P  0.319  0.153  0.098
P  0.333  0.667  0.057
P  0.667  0.333  0.557
P  0.681  0.847  0.598
P  0.834  0.681  0.098
P  0.847  0.166  0.098
O  0.073  0.716  0.445
O  0.086  0.178  0.596
O  0.092  0.914  0.596
O  0.099  0.380  0.474
O  0.164  0.806  0.894
O  0.178  0.092  0.096
O  0.194  0.358  0.894
O  0.203  0.605  0.167
O  0.281  0.901  0.474
O  0.284  0.357  0.445
O  0.333  0.667  0.750
O  0.357  0.073  0.945
O  0.358  0.164  0.394
O  0.380  0.281  0.974
O  0.395  0.598  0.167
O  0.402  0.797  0.167
O  0.598  0.203  0.667
O  0.605  0.402  0.667
O  0.620  0.719  0.474
O  0.642  0.836  0.894
O  0.643  0.927  0.445
O  0.667  0.333  0.250
O  0.716  0.643  0.945
O  0.719  0.099  0.974
O  0.797  0.395  0.667
O  0.806  0.642  0.394
O  0.822  0.908  0.596
O  0.836  0.194  0.394
O  0.901  0.620  0.974
O  0.908  0.086  0.096
O  0.914  0.822  0.096
O  0.927  0.284  0.945
F  0.040  0.524  0.777
F  0.476  0.516  0.777
F  0.484  0.960  0.777
F  0.516  0.040  0.277
F  0.524  0.484  0.277
F  0.960  0.476  0.277



Record 3
Compound: LiMg2PbF8
Source: the Alexandria database
Functional: PBE
Structure: optimized geometry

Results
space-group type	Cmmm (65)
calculated density	4.40	g/cm³
energy relative to the elements, uncorrected	-2.890	eV per atom
N(E_F)	4.49	states/eV per cell

a = 4.944 Å, b = 4.944 Å, c = 6.411 Å
α = 90.00°, β = 90.00°, γ = 90.57°
Atoms (fractional coordinates):
Li  0.000  0.000  0.000
Mg  0.500  0.500  0.229
Mg  0.500  0.500  0.771
Pb  0.000  0.000  0.500
F  0.210  0.210  0.234
F  0.210  0.210  0.766
F  0.309  0.691  0.000
F  0.327  0.673  0.500
F  0.673  0.327  0.500
F  0.691  0.309  0.000
F  0.790  0.790  0.234
F  0.790  0.790  0.766



Record 4
Compound: LiMgPbF6
Source: the Alexandria database
Functional: PBE
Structure: optimized geometry

Results
space-group type	P-31c (163)
calculated density	4.87	g/cm³
energy relative to the elements, uncorrected	-2.654	eV per atom
N(E_F)	6.95	states/eV per cell

a = 5.584 Å, b = 5.584 Å, c = 8.897 Å
α = 90.00°, β = 90.00°, γ = 120.00°
Atoms (fractional coordinates):
Li  0.000  0.000  0.000
Li  0.000  0.000  0.500
Mg  0.333  0.667  0.250
Mg  0.667  0.333  0.750
Pb  0.333  0.667  0.750
Pb  0.667  0.333  0.250
F  0.036  0.355  0.127
F  0.036  0.681  0.373
F  0.319  0.355  0.373
F  0.319  0.964  0.127
F  0.355  0.036  0.627
F  0.355  0.319  0.873
F  0.645  0.681  0.127
F  0.645  0.964  0.373
F  0.681  0.036  0.873
F  0.681  0.645  0.627
F  0.964  0.319  0.627
F  0.964  0.645  0.873



Record 5
Compound: Li2MgPdF8
Source: the Alexandria database
Functional: PBE
Structure: optimized geometry

Results
space-group type	Cmmm (65)
calculated density	3.50	g/cm³
energy relative to the elements, uncorrected	-2.394	eV per atom
N(E_F)	0.00	states/eV per cell

a = 4.759 Å, b = 4.759 Å, c = 6.233 Å
α = 90.00°, β = 90.00°, γ = 94.34°
Atoms (fractional coordinates):
Li  0.000  0.000  0.227
Li  0.000  0.000  0.773
Mg  0.500  0.500  0.000
Pd  0.500  0.500  0.500
F  0.199  0.199  0.500
F  0.204  0.204  0.000
F  0.314  0.686  0.264
F  0.314  0.686  0.736
F  0.686  0.314  0.264
F  0.686  0.314  0.736
F  0.796  0.796  0.000
F  0.801  0.801  0.500



Record 6
Compound: Li2MgPdF6
Source: the Alexandria database
Functional: PBE
Structure: optimized geometry

Results
space-group type	P1 (1)
calculated density	3.58	g/cm³
energy relative to the elements, uncorrected	-2.543	eV per atom

a = 4.972 Å, b = 5.302 Å, c = 5.544 Å
α = 111.42°, β = 115.95°, γ = 90.06°
Atoms (fractional coordinates):
Li  0.000  0.000  0.000
Li  0.460  0.505  0.013
Mg  0.253  0.876  0.539
Pd  0.753  0.371  0.546
F  0.222  0.733  0.148
F  0.281  0.130  0.913
F  0.521  0.629  0.722
F  0.666  0.123  0.713
F  0.849  0.625  0.389
F  0.980  0.123  0.367



Question: Among the records above, which one has the highest calculated density?
Answer: LiMgPbF6



Copy entry 4 word for word.
Compound: LiMgPbF6
Source: the Alexandria database
Functional: PBE
Structure: optimized geometry

Results
space-group type	P-31c (163)
calculated density	4.87	g/cm³
energy relative to the elements, uncorrected	-2.654	eV per atom
N(E_F)	6.95	states/eV per cell

a = 5.584 Å, b = 5.584 Å, c = 8.897 Å
α = 90.00°, β = 90.00°, γ = 120.00°
Atoms (fractional coordinates):
Li  0.000  0.000  0.000
Li  0.000  0.000  0.500
Mg  0.333  0.667  0.250
Mg  0.667  0.333  0.750
Pb  0.333  0.667  0.750
Pb  0.667  0.333  0.250
F  0.036  0.355  0.127
F  0.036  0.681  0.373
F  0.319  0.355  0.373
F  0.319  0.964  0.127
F  0.355  0.036  0.627
F  0.355  0.319  0.873
F  0.645  0.681  0.127
F  0.645  0.964  0.373
F  0.681  0.036  0.873
F  0.681  0.645  0.627
F  0.964  0.319  0.627
F  0.964  0.645  0.873